First-principles (PBE) data for crystalline HoInPtAu at its relaxed geometry, as listed in the Alexandria database.

Results
Formation energy from the elements: -0.81 eV per atom
E_tot: -4.97 eV per atom

Cell lengths 6.8853, 6.8853, 6.8853 Å; angles 90.00, 90.00, 90.00 degrees
With the nearest neighbours (Å) after each atom.
Space group F-43m (No. 216)
Unique sites:
Ho: 0.0000 0.0000 0.0000 [4 per cell]  4 Pt 2.98, 4 Au 2.98
In: 0.0000 0.0000 0.5000 [4 per cell]  4 Pt 2.98, 4 Au 2.98
Pt: 0.2500 0.2500 0.2500 [4 per cell]  4 In 2.98, 4 Ho 2.98
Au: 0.2500 0.2500 0.7500 [4 per cell]  4 In 2.98, 4 Ho 2.98

=====

First-principles (PBE) data for crystalline HoPuInAu at its relaxed geometry, as listed in the Alexandria database.

Results
Formation energy from the elements: -0.38 eV per atom
E_tot: -6.61 eV per atom

Cell lengths 7.4111, 7.4111, 7.4111 Å; angles 90.00, 90.00, 90.00 degrees
With the nearest neighbours (Å) after each atom.
Space group F-43m (No. 216)
Unique sites:
Ho: 0.0000 0.0000 0.0000 [4 per cell]  4 Au 3.21, 4 In 3.21
Pu: 0.0000 0.0000 0.5000 [4 per cell]  4 In 3.21, 4 Au 3.21
In: 0.2500 0.2500 0.7500 [4 per cell]  4 Ho 3.21, 4 Pu 3.21
Au: 0.2500 0.2500 0.2500 [4 per cell]  4 Pu 3.21, 4 Ho 3.21